VGa2Pt2 after structural relaxation, computed with PBE-GGA.

Cell: 7.4944 7.4944 2.8166 Å, 90.00 90.00 90.00°
Space group P4/mbm (No. 127)
Unique sites:
V (0.0000, 0.0000, 0.0000) (multiplicity 2)
Ga (0.1591, 0.3409, 0.5000) (multiplicity 4)
Pt (0.1405, 0.6405, 0.0000) (multiplicity 4)

Spin magnetization   0.5032 μB/atom
Uncorrected energy   -5.76 eV/atom
Calculated formation energy   -0.3099 eV per atom
Polymorph energy (0 for the lowest one)   38.4 meV per atom